Record 1
Entry from Alexandria: PmBIrO5 after structural relaxation (PBE).

Structure (POSCAR):
```
PmBIrO5
1.0
5.431 -0.075 -0.010
-1.657 5.172 -0.010
-1.581 -2.135 6.278
O B Pm Ir
10 2 2 2
Cartesian
-0.696 3.235 3.962
0.461 1.872 5.770
-0.253 0.908 3.628
4.088 1.347 0.823
3.592 -1.192 4.699
1.733 1.091 0.489
-1.398 4.155 1.560
2.889 -0.273 2.296
-1.894 1.616 5.435
2.446 2.055 2.631
-0.664 1.958 4.699
2.857 1.004 1.560
1.722 0.192 4.699
0.472 2.770 1.560
-0.790 -1.067 3.139
0.000 0.000 0.000
```

Computed properties:
E = -123.22 eV/cell
Crystal system = monoclinic
Formation energy (no corrections) = -2.07 eV/atom

Record 2
Entry from Alexandria: PmB2IrO8 after structural relaxation (PBE).

Structure (POSCAR):
```
PmB2IrO8
1.0
4.934 0.000 0.000
-2.467 4.273 0.000
0.000 0.000 6.605
O Ir B Pm
8 1 2 1
Cartesian
1.266 0.731 1.242
1.201 3.542 5.363
3.668 0.731 1.242
0.000 1.461 5.363
2.467 2.811 1.242
-1.201 3.542 5.363
2.467 1.424 3.135
0.000 2.848 3.470
0.000 0.000 0.000
0.000 2.848 4.904
2.467 1.424 1.701
0.000 0.000 3.303
```

Computed properties:
E = -86.96 eV/cell
Crystal system = trigonal
Formation energy (no corrections) = -1.69 eV/atom

- What is the formation energy (no corrections) in the second record?
  -1.69 eV/atom